Below is Lu2CF after structural relaxation, with properties calculated at the PBE level.

Cell: 3.6076 3.6076 7.0725 Å, 75.22 75.22 60.00°
Last column: nearest neighbours and their distance in Å.
Fractional positions:
Lu (0.1060, 0.1060, 0.6821)  1 F 2.15
C (0.5000, 0.5000, 0.5000)  6 Lu 2.42
Lu (0.8940, 0.8940, 0.3179)  1 F 2.15
F (0.0000, 0.0000, 0.0000)  2 Lu 2.15

E_form (uncorrected)   -591 kJ/mol of formula units
Fermi-level density of states   2.04 states/eV/f.u.
Raw total energy   -26.26 eV for the cell shown

Below is Na2LuC2O6F after structural relaxation, with properties calculated at the PBE level.

Cell: 9.2889 9.2889 11.4122 Å, 87.12 87.12 38.26°
Last column: nearest neighbours and their distance in Å.
Fractional positions:
C (0.2874, 0.1233, 0.9161)  3 O 1.28-1.32
C (0.3545, 0.7628, 0.3834)  3 O 1.28-1.31
O (0.6197, 0.9993, 0.1790)  1 C 1.31
O (0.1004, 0.7089, 0.2022)  1 C 1.29
O (0.7551, 0.7100, 0.0712)  1 C 1.28
Na (0.8605, 0.6672, 0.8657)  4 O 2.31-2.46
F (0.7028, 0.1809, 0.3170)  2 Lu 2.21-2.23, 1 Na 2.43
F (0.8191, 0.2972, 0.1830)  2 Lu 2.21-2.23, 1 Na 2.43
C (0.7126, 0.8767, 0.0839)  3 O 1.28-1.32
O (0.7100, 0.7551, 0.5712)  1 C 1.28
Lu (0.7855, 0.0974, 0.1282)  6 O 2.19-2.38, 2 F 2.21-2.23
Lu (0.0974, 0.7855, 0.6282)  6 O 2.19-2.38, 2 F 2.21-2.23
O (0.2911, 0.8996, 0.2978)  1 C 1.29
Na (0.5202, 0.7027, 0.1198)  3 O 2.28-2.50, 1 F 2.43
O (0.8996, 0.2911, 0.7978)  1 C 1.29
O (0.8146, 0.1736, 0.5591)  1 C 1.31
Na (0.6672, 0.8605, 0.3657)  4 O 2.31-2.46
O (0.0698, 0.2310, 0.4998)  1 C 1.32
C (0.7628, 0.3545, 0.8834)  3 O 1.28-1.31
O (0.2900, 0.2449, 0.4288)  1 C 1.28
O (0.7089, 0.1004, 0.7022)  1 C 1.29
O (0.9993, 0.6197, 0.6790)  1 C 1.31
Lu (0.9026, 0.2145, 0.3718)  6 O 2.19-2.38, 2 F 2.21-2.23
O (0.5672, 0.5781, 0.4120)  1 C 1.28
O (0.1736, 0.8146, 0.0591)  1 C 1.31
Na (0.7027, 0.5202, 0.6198)  3 O 2.28-2.50, 1 F 2.43
Na (0.3328, 0.1395, 0.6343)  4 O 2.31-2.46
O (0.3803, 0.0007, 0.8210)  1 C 1.31
C (0.1233, 0.2874, 0.4161)  3 O 1.28-1.32
F (0.2972, 0.8191, 0.6830)  2 Lu 2.21-2.23, 1 Na 2.43
O (0.5781, 0.5672, 0.9120)  1 C 1.28
F (0.1809, 0.7028, 0.8170)  2 Lu 2.21-2.23, 1 Na 2.43
O (0.0007, 0.3803, 0.3210)  1 C 1.31
O (0.1854, 0.8264, 0.4409)  1 C 1.31
Lu (0.2145, 0.9026, 0.8718)  6 O 2.19-2.38, 2 F 2.21-2.23
O (0.7690, 0.9302, 0.0002)  1 C 1.32
O (0.8264, 0.1854, 0.9409)  1 C 1.31
Na (0.1395, 0.3328, 0.1343)  4 O 2.31-2.46
C (0.2372, 0.6455, 0.1166)  3 O 1.28-1.31
O (0.4328, 0.4219, 0.5880)  1 C 1.28
C (0.6455, 0.2372, 0.6166)  3 O 1.28-1.31
O (0.2449, 0.2900, 0.9288)  1 C 1.28
O (0.2310, 0.0698, 0.9998)  1 C 1.32
C (0.8767, 0.7126, 0.5839)  3 O 1.28-1.32
O (0.9302, 0.7690, 0.5002)  1 C 1.32
Na (0.2973, 0.4798, 0.3802)  3 O 2.28-2.50, 1 F 2.43
Na (0.4798, 0.2973, 0.8802)  3 O 2.28-2.50, 1 F 2.43
O (0.4219, 0.4328, 0.0880)  1 C 1.28

E_form (uncorrected)   -2584 kJ/mol of formula units
Fermi-level density of states   0.00 states/eV/f.u.
Raw total energy   -336.05 eV for the cell shown

Below is Na4LuC3O9F after structural relaxation, with properties calculated at the PBE level.

Cell: 8.9948 8.9948 14.0979 Å, 84.90 84.90 126.85°
Last column: nearest neighbours and their distance in Å.
Fractional positions:
Na (0.1724, 0.4997, 0.8506)  7 O 2.44-2.70
C (0.4456, 0.8491, 0.7255)  3 O 1.27-1.32
Na (0.5113, 0.1493, 0.1105)  4 O 2.34-2.41
Na (0.0748, 0.8568, 0.5273)  1 F 2.36, 5 O 2.42-2.51
Lu (0.6131, 0.5742, 0.9489)  2 F 2.14, 4 O 2.22-2.36
O (0.2064, 0.0633, 0.1281)  1 C 1.29
O (0.4044, 0.3775, 0.0804)  1 C 1.32
O (0.6565, 0.3719, 0.7175)  1 C 1.32
Na (0.1755, 0.5281, 0.0892)  5 O 2.30-2.51
Na (0.5281, 0.1755, 0.5892)  5 O 2.30-2.51
O (0.8455, 0.3298, 0.2919)  1 C 1.32
O (0.6492, 0.3254, 0.9507)  1 C 1.34
C (0.8491, 0.4456, 0.2255)  3 O 1.27-1.32
Na (0.5845, 0.5859, 0.6948)  2 F 2.34-2.35, 4 O 2.38-2.49
Na (0.8646, 0.0602, 0.7743)  4 O 2.28-2.47, 1 F 2.29
O (0.6215, 0.9033, 0.4351)  1 C 1.30
O (0.6745, 0.4320, 0.4662)  1 C 1.29
Na (0.8568, 0.0748, 0.0273)  1 F 2.36, 5 O 2.42-2.51
O (0.4320, 0.6745, 0.9662)  1 C 1.29
O (0.0860, 0.1826, 0.8777)  1 C 1.28
O (0.2283, 0.0924, 0.6295)  1 C 1.29
C (0.2213, 0.2312, 0.6128)  3 O 1.29-1.32
C (0.8370, 0.4522, 0.7166)  3 O 1.27-1.32
Na (0.5859, 0.5845, 0.1948)  2 F 2.34-2.35, 4 O 2.38-2.49
O (0.0932, 0.2727, 0.3709)  1 C 1.31
C (0.8327, 0.4453, 0.9576)  3 O 1.27-1.34
O (0.9223, 0.3882, 0.9869)  1 C 1.27
O (0.8711, 0.3546, 0.7726)  1 C 1.31
O (0.8797, 0.3711, 0.4905)  1 C 1.29
O (0.1826, 0.0860, 0.3777)  1 C 1.28
O (0.6497, 0.9861, 0.9080)  1 C 1.31
Na (0.0695, 0.8439, 0.7761)  5 O 2.36-2.51, 1 F 2.37
O (0.3254, 0.6492, 0.4507)  1 C 1.34
Na (0.8347, 0.0789, 0.5330)  3 O 2.30-2.42, 1 F 2.47
O (0.9861, 0.6497, 0.4080)  1 C 1.31
F (0.7613, 0.7551, 0.8107)  1 Lu 2.14, 3 Na 2.29-2.37
Na (0.1493, 0.5113, 0.6105)  4 O 2.34-2.41
O (0.9033, 0.6215, 0.9351)  1 C 1.30
O (0.3298, 0.8455, 0.7919)  1 C 1.32
O (0.3546, 0.8711, 0.2726)  1 C 1.31
C (0.2504, 0.2246, 0.8695)  3 O 1.28-1.31
C (0.4826, 0.8435, 0.9569)  3 O 1.29-1.31
O (0.0156, 0.6092, 0.1953)  1 C 1.31
O (0.9685, 0.6136, 0.6660)  1 C 1.27
O (0.3719, 0.6565, 0.2175)  1 C 1.32
O (0.6991, 0.4001, 0.1965)  1 C 1.27
O (0.3998, 0.4012, 0.8586)  1 C 1.31
Lu (0.5742, 0.6131, 0.4489)  2 F 2.14, 4 O 2.22-2.36
O (0.6092, 0.0156, 0.6953)  1 C 1.31
O (0.2727, 0.0932, 0.8709)  1 C 1.31
Na (0.0602, 0.8646, 0.2743)  4 O 2.28-2.47, 1 F 2.29
O (0.4001, 0.6991, 0.6965)  1 C 1.27
Lu (0.1306, 0.5436, 0.3389)  6 O 2.23-2.38
O (0.0633, 0.2064, 0.6281)  1 C 1.29
O (0.3775, 0.4044, 0.5804)  1 C 1.32
O (0.4012, 0.3998, 0.3586)  1 C 1.31
C (0.4522, 0.8370, 0.2166)  3 O 1.27-1.32
C (0.2312, 0.2213, 0.1128)  3 O 1.29-1.32
O (0.3711, 0.8797, 0.9905)  1 C 1.29
F (0.7669, 0.7672, 0.5434)  1 Lu 2.14, 2 Na 2.34-2.36
Na (0.0789, 0.8347, 0.0330)  3 O 2.30-2.42, 1 F 2.47
C (0.2246, 0.2504, 0.3695)  3 O 1.28-1.31
Lu (0.5436, 0.1306, 0.8389)  6 O 2.23-2.38
O (0.0924, 0.2283, 0.1295)  1 C 1.29
C (0.4453, 0.8327, 0.4576)  3 O 1.27-1.34
C (0.8435, 0.4826, 0.4569)  3 O 1.29-1.31
O (0.6136, 0.9685, 0.1660)  1 C 1.27
F (0.7551, 0.7613, 0.3107)  1 Lu 2.14, 3 Na 2.29-2.37
Na (0.4997, 0.1724, 0.3506)  7 O 2.44-2.70
F (0.7672, 0.7669, 0.0434)  1 Lu 2.14, 2 Na 2.34-2.36
Na (0.8439, 0.0695, 0.2761)  5 O 2.36-2.51, 1 F 2.37
O (0.3882, 0.9223, 0.4869)  1 C 1.27

E_form (uncorrected)   -3622 kJ/mol of formula units
Fermi-level density of states   0.00 states/eV/f.u.
Raw total energy   -486.02 eV for the cell shown

Below is Mg3CF after structural relaxation, with properties calculated at the PBE level.

Cell: 4.3326 4.3326 4.3326 Å, 90.00 90.00 90.00°
Last column: nearest neighbours and their distance in Å.
Fractional positions:
C (0.0000, 0.0000, 0.0000)  6 Mg 2.17
Mg (0.0000, 0.5000, 0.0000)  2 C 2.17
Mg (0.5000, 0.0000, 0.0000)  2 C 2.17
Mg (0.0000, 0.0000, 0.5000)  2 C 2.17
F (0.5000, 0.5000, 0.5000)  12 Mg 3.06

E_form (uncorrected)   -221 kJ/mol of formula units
Fermi-level density of states   2.22 states/eV/f.u.
Distance to the lowest polymorph of the same formula   0 meV per atom
Raw total energy   -18.17 eV for the cell shown